# 1
{
  "formula": "Na5PbO4",
  "functional": "PBE",
  "state": "relaxed",
  "spacegroup": "Pmmn (59)",
  "formation_energy_uncorrected_ev_per_atom": -1.24,
  "polymorph_energy_ev_per_fu": 0.000,
  "lattice_angstrom": [[5.610, 0.000, 0.000], [0.000, 8.032, 0.000], [0.000, 0.000, 7.498]],
  "species": ["O", "O", "O", "O", "O", "O", "O", "O", "Na", "Na", "Na", "Na", "Na", "Na", "Na", "Na", "Na", "Na", "Pb", "Pb"],
  "frac_coords": [[0.435, 0.000, 0.241], [0.565, 0.500, 0.259], [0.987, 0.745, 0.500], [0.987, 0.255, 0.500], [0.435, 0.000, 0.759], [0.013, 0.755, 0.000], [0.013, 0.245, 0.000], [0.565, 0.500, 0.741], [0.253, 0.692, 0.259], [0.253, 0.308, 0.259], [0.747, 0.192, 0.241], [0.747, 0.808, 0.241], [0.253, 0.308, 0.741], [0.747, 0.192, 0.759], [0.793, 0.500, 0.000], [0.207, 0.000, 0.500], [0.747, 0.808, 0.759], [0.253, 0.692, 0.741], [0.788, 0.500, 0.500], [0.212, 0.000, 0.000]]
}



# 2
{
  "formula": "NaPbO2",
  "functional": "PBE",
  "state": "relaxed",
  "spacegroup": "P4/mmm (123)",
  "formation_energy_uncorrected_ev_per_atom": -0.79,
  "lattice_angstrom": [[-2.345, 3.184, -4.416], [0.692, -4.595, -3.681], [-3.590, -1.715, -3.308]],
  "species": ["O", "O", "O", "O", "Pb", "Pb", "Na", "Na"],
  "frac_coords": [[0.250, 0.250, 0.000], [0.750, 0.750, 0.000], [0.250, 0.750, 0.000], [0.750, 0.250, 0.000], [0.750, 0.750, 0.500], [0.250, 0.250, 0.500], [0.750, 0.250, 0.500], [0.250, 0.750, 0.500]]
}



| no. | uncorrected energy (eV per atom) | D(E_F) (states/eV/cell) |
| --- | --- | --- |
| 1 | -4.251 | 6.2 |
| 2 | -4.529 | 4.8 |